Record 1
Entry from Alexandria: a geometry-optimized InPt2Au structure (PBE-GGA).

abc: 4.739 3.001 4.880
angles: 90.01 90.00 90.00
Atoms (fractional coordinates):
Au 0.000 0.625 0.428
Pt 0.500 0.125 0.317
Pt 0.000 0.125 0.937
In 0.500 0.625 0.819

Summary:
SG: Pmm2 (25)
DFT formation energy in eV/atom: -0.231

=====

Record 2
Entry from Alexandria: a geometry-optimized Ca2HIr structure (PBE-GGA).

abc: 4.784 4.784 4.784
angles: 60.00 60.00 60.00
Atoms (fractional coordinates):
Ir 0.500 0.500 0.500
H 0.000 0.000 0.000
Ca 0.750 0.750 0.750
Ca 0.250 0.250 0.250

Summary:
SG: Fm-3m (225)

=====

| no. | Fermi-level density of states (states/eV per cell) | calculated total energy (eV per cell) |
| --- | --- | --- |
| 1 | 1.016 | -19.02 |
| 2 | 0.090 | -16.61 |